Entry from Alexandria via LeMat-Bulk: a crystal of MnAuS3 relaxed with PBEsol (SCAN).

Lattice parameters (Å, degrees): 4.437 4.437 4.437 90.00 90.00 90.00
Space group Pm-3m (No. 221)
Unique sites:
Mn  0.000  0.000  0.000
Au  0.500  0.500  0.500
S  0.000  0.000  0.500

Summary:
Formation energy (no corrections) in meV per atom: 365.7